# NaIn2WF8

Crystalline NaIn2WF8 at its relaxed geometry (GGA+U, the Alexandria database).

Results
Total moment in μB/atom: 0.001
Total energy in eV per formula unit: -57.32

Cell: 5.4113 5.7543 6.7421 Å, 88.93 87.51 87.78°
With the nearest neighbours (Å) after each atom.
Element x y z (fractional)
Na: 0.0000 0.0000 0.0000  4 F 2.29-2.39
In: 0.4940 0.5126 0.7327  4 F 2.23-2.48
In: 0.5060 0.4874 0.2673  4 F 2.23-2.48
W: 0.0000 0.0000 0.5000  6 F 1.97-2.08
F: 0.0623 0.7607 0.2886  1 W 2.01
F: 0.1596 0.8049 0.7276  1 W 2.08, 1 Na 2.29
F: 0.3172 0.1344 0.4146  1 W 1.97
F: 0.3532 0.3159 0.0085  2 In 2.23-2.28
F: 0.6468 0.6841 0.9915  2 In 2.23-2.28
F: 0.6828 0.8656 0.5854  1 W 1.97
F: 0.8404 0.1951 0.2724  1 W 2.08, 1 Na 2.29
F: 0.9377 0.2393 0.7114  1 W 2.01